(1)
{"formula": "Ce2MoOs3", "functional": "PBE-GGA", "state": "relaxed", "cell": [[-5.627, -0.241, -0.336], [3.016, -4.761, 0.274], [-0.494, 0.156, 8.154]], "species": ["Ce", "Ce", "Ce", "Ce", "Mo", "Mo", "Os", "Os", "Os", "Os", "Os", "Os"], "frac_coords": [[0.667, 0.333, 0.431], [0.333, 0.667, 0.569], [0.333, 0.667, 0.931], [0.667, 0.333, 0.069], [0.000, 0.000, 0.500], [0.000, 0.000, 0.000], [0.170, 0.340, 0.250], [0.340, 0.170, 0.750], [0.830, 0.660, 0.750], [0.170, 0.830, 0.250], [0.830, 0.170, 0.750], [0.660, 0.830, 0.250]], "crystal_system": "hexagonal", "sg": "P6_3/mmc, No. 194"}

=====

(2)
{"formula": "CeMoOs2", "functional": "PBE-GGA", "state": "relaxed", "cell": [[4.470, 0.000, 0.000], [2.235, 3.871, 0.000], [2.235, 1.290, 4.902]], "species": ["Mo", "Os", "Os", "Ce"], "frac_coords": [[0.000, 0.000, 0.000], [0.307, 0.307, 0.079], [0.693, 0.693, 0.921], [0.500, 0.500, 0.500]], "crystal_system": "trigonal", "sg": "R-3m, No. 166"}

=====

(3)
{"formula": "CePaMoOs", "functional": "PBE-GGA", "state": "relaxed", "cell": [[-4.256, -1.093, -2.184], [-0.189, -3.574, -3.357], [-2.277, -4.222, 1.036]], "species": ["Mo", "Pa", "Os", "Ce"], "frac_coords": [[0.500, 0.500, 0.500], [0.250, 0.250, 0.250], [0.000, 0.000, 0.000], [0.750, 0.750, 0.750]], "crystal_system": "cubic", "sg": "F-43m, No. 216"}

=====

no.,energy (eV per atom),spin magnetization (μB per cell),ΔE_f (eV per formula unit)
1,-9.603,0.000,-1.23
2,-9.583,0.002,0.89
3,-9.322,0.000,0.20